# 1
{
  "formula": "Hf2MgMo",
  "functional": "PBE",
  "state": "relaxed",
  "lattice": [[0.0000, 3.3751, 3.3751], [3.3751, 0.0000, 3.3751], [3.3751, 3.3751, 0.0000]],
  "species": ["Hf", "Hf", "Mg", "Mo"],
  "frac_coords": [[0.2500, 0.2500, 0.2500], [0.5000, 0.5000, 0.5000], [0.0000, 0.0000, 0.0000], [0.7500, 0.7500, 0.7500]],
  "e_tot_ev_per_fu": -31.1,
  "spacegroup": "No. 216",
  "crystal_system": "cubic"
}

---

# 2
{
  "formula": "HfMgMo2",
  "functional": "PBE",
  "state": "relaxed",
  "lattice": [[0.0000, 3.2767, 3.2767], [3.2767, 0.0000, 3.2767], [3.2767, 3.2767, 0.0000]],
  "species": ["Hf", "Mg", "Mo", "Mo"],
  "frac_coords": [[0.2500, 0.2500, 0.2500], [0.5000, 0.5000, 0.5000], [0.0000, 0.0000, 0.0000], [0.7500, 0.7500, 0.7500]],
  "e_tot_ev_per_fu": -32.5,
  "spacegroup": "No. 216",
  "crystal_system": "cubic"
}

---

# 3
{
  "formula": "HfMg2Mo",
  "functional": "PBE",
  "state": "relaxed",
  "lattice": [[-3.9687, 2.6156, 0.3213], [-1.4903, 2.5374, -3.7464], [-3.9203, -1.3197, -2.3632]],
  "species": ["Hf", "Mg", "Mg", "Mo"],
  "frac_coords": [[0.5000, 0.5000, 0.5000], [0.0000, 0.0000, 0.0000], [0.7500, 0.7500, 0.7500], [0.2500, 0.2500, 0.2500]],
  "e_tot_ev_per_fu": -22.5,
  "spacegroup": "No. 216",
  "crystal_system": "cubic"
}

---

# 4
{
  "formula": "HfMgTeMo",
  "functional": "PBE",
  "state": "relaxed",
  "lattice": [[1.7658, -4.3844, 0.7082], [-2.9049, -3.7935, -0.1151], [0.2499, -3.0917, -3.6361]],
  "species": ["Hf", "Mg", "Mo", "Te"],
  "frac_coords": [[0.5000, 0.5000, 0.5000], [0.7500, 0.7500, 0.7500], [0.0000, 0.0000, 0.0000], [0.2500, 0.2500, 0.2500]],
  "de_polymorph_ev_per_fu": 0.45,
  "spacegroup": "No. 216",
  "crystal_system": "cubic"
}

---

# 5
{
  "formula": "HfMgTeMo",
  "functional": "PBE",
  "state": "relaxed",
  "lattice": [[0.0000, 3.3590, 3.3590], [3.3590, 0.0000, 3.3590], [3.3590, 3.3590, 0.0000]],
  "species": ["Hf", "Mg", "Mo", "Te"],
  "frac_coords": [[0.0000, 0.0000, 0.0000], [0.7500, 0.7500, 0.7500], [0.2500, 0.2500, 0.2500], [0.5000, 0.5000, 0.5000]],
  "de_polymorph_ev_per_fu": 0.00,
  "spacegroup": "No. 216",
  "crystal_system": "cubic"
}

---

# 6
{
  "formula": "HfMgMoW",
  "functional": "PBE",
  "state": "relaxed",
  "lattice": [[0.0000, 3.2818, 3.2818], [3.2818, 0.0000, 3.2818], [3.2818, 3.2818, 0.0000]],
  "species": ["Hf", "Mg", "Mo", "W"],
  "frac_coords": [[0.5000, 0.5000, 0.5000], [0.7500, 0.7500, 0.7500], [0.0000, 0.0000, 0.0000], [0.2500, 0.2500, 0.2500]],
  "de_polymorph_ev_per_fu": 0.00,
  "spacegroup": "No. 216",
  "crystal_system": "cubic"
}